{
  "formula": "NaVTe2Pb",
  "functional": "PBE",
  "state": "relaxed",
  "lattice_angstrom": [[-2.2191, -1.9289, -4.6797], [3.8979, -3.4015, -0.4464], [-2.8997, -3.7036, 2.9016]],
  "species": ["Pb", "Na", "Te", "Te", "V"],
  "frac_coords": [[0.0000, 0.5000, 0.0000], [0.0000, 0.0000, 0.0000], [0.0000, 0.0000, 0.5000], [0.5000, 0.0000, 0.0000], [0.5000, 0.5000, 0.5000]],
  "sg": "P4/mmm",
  "crystal_system": "tetragonal",
  "raw_formation_energy_ev_per_atom": 1.070
}